# SrSc4Ru GGA-PBE optimized geometry
data_SrSc4Ru
_chemical_formula_sum 'Sr4 Sc16 Ru4'
_symmetry_space_group_name_H-M 'F -4 3 m'
_symmetry_Int_Tables_number 216
_symmetry_space_group_name_Hall 'F -4 2 3'
_cell_length_a 8.4066
_cell_length_b 8.4066
_cell_length_c 8.4066
_cell_angle_alpha 90.00
_cell_angle_beta 90.00
_cell_angle_gamma 90.00
loop_
_atom_site_label
_atom_site_fract_x
_atom_site_fract_y
_atom_site_fract_z
_atom_site_occupancy
Sr1 0.0000 0.0000 0.0000 1
Sc1 0.1223 0.1223 0.3777 1
Ru1 0.2500 0.2500 0.7500 1
# **DOS at the Fermi energy**: 40.9 states/eV/cell
# **Spin magnetization**: 1.77 μB per formula unit
# **E_form**: 3.6 eV/f.u.
# **Total energy**: -5.455 eV/atom